Record 1
Entry from Alexandria: a relaxed structure of Rb2RhC2O6 (PBE).

Output
Its total magnetization is 2.0 μB per cell. As for the crystal system: monoclinic. The uncorrected energy is -0.2421 hartree per atom. For the uncorrected formation energy, the calculation gives -14.98 eV per formula unit.

a = 12.3512 Å, b = 5.0763 Å, c = 6.6541 Å
α = 90.00°, β = 118.44°, γ = 90.00°
Space group C2/m (No. 12)
One atom of each set of equivalent atoms:
Rb: 0.1940 0.0000 0.2057 (multiplicity 4)
Rh: 0.0000 0.0000 0.5000 (multiplicity 2)
C: 0.0006 0.5000 0.7222 (multiplicity 4)
O: 0.0653 0.2808 0.7515 (multiplicity 8)
O: 0.1102 0.5000 0.3213 (multiplicity 4)

---

Record 2
Entry from Alexandria: a relaxed structure of RbScC2O6 (PBE).

Output
Its total magnetization is 0.0 μB per cell. As for the crystal system: monoclinic. The uncorrected energy is -0.2808 hartree per atom. For the uncorrected formation energy, the calculation gives -20.91 eV per formula unit.

a = 8.7202 Å, b = 9.5911 Å, c = 7.1573 Å
α = 90.00°, β = 110.37°, γ = 90.00°
Space group C2/c (No. 15)
One atom of each set of equivalent atoms:
Rb: 0.0000 0.1050 0.2500 (multiplicity 4)
Sc: 0.0000 0.3353 0.7500 (multiplicity 4)
C: 0.2066 0.3927 0.2048 (multiplicity 8)
O: 0.0927 0.3334 0.0590 (multiplicity 8)
O: 0.1542 0.1695 0.7105 (multiplicity 8)
O: 0.1840 0.4864 0.7709 (multiplicity 8)

---

Record 3
Entry from Alexandria: a relaxed structure of RbSiC2O8 (PBE).

Output
Its total magnetization is 5.8 μB per cell. As for the crystal system: monoclinic. The uncorrected energy is -0.2405 hartree per atom. For the uncorrected formation energy, the calculation gives -14.01 eV per formula unit.

a = 7.4806 Å, b = 4.7510 Å, c = 8.2145 Å
α = 90.00°, β = 105.28°, γ = 90.00°
Space group C2/m (No. 12)
One atom of each set of equivalent atoms:
Rb: 0.0000 0.0000 0.0000 (multiplicity 2)
Si: 0.0000 0.5000 0.5000 (multiplicity 2)
C: 0.1934 0.0000 0.6687 (multiplicity 4)
O: 0.0769 0.2366 0.6614 (multiplicity 8)
O: 0.1894 0.5000 0.1763 (multiplicity 4)
O: 0.2212 0.5000 0.4610 (multiplicity 4)

---

Record 4
Entry from Alexandria: a relaxed structure of Rb2SmC2O6 (PBE).

Output
Its total magnetization is 0.0 μB per cell. As for the crystal system: trigonal. The uncorrected energy is -0.2518 hartree per atom. For the uncorrected formation energy, the calculation gives -20.51 eV per formula unit.

a = 5.6958 Å, b = 5.6958 Å, c = 7.6577 Å
α = 90.00°, β = 90.00°, γ = 120.00°
Space group P-3m1 (No. 164)
One atom of each set of equivalent atoms:
Rb: 0.3333 0.6667 0.3092 (multiplicity 2)
Sm: 0.0000 0.0000 0.0000 (multiplicity 1)
C: 0.3333 0.6667 0.8464 (multiplicity 2)
O: 0.2013 0.4027 0.8409 (multiplicity 6)

---

Record 5
Entry from Alexandria: a relaxed structure of RbSr3C4O12 (PBE).

Output
Its total magnetization is 3.4 μB per cell. As for the crystal system: trigonal. The uncorrected energy is -0.2632 hartree per atom. For the uncorrected formation energy, the calculation gives -40.82 eV per formula unit.

a = 10.7249 Å, b = 10.7249 Å, c = 9.8525 Å
α = 90.00°, β = 90.00°, γ = 120.00°
Space group R32 (No. 155, hexagonal axes)
One atom of each set of equivalent atoms:
Rb: 0.0000 0.0000 0.0000 (multiplicity 3)
Sr: 0.0000 0.5303 0.0000 (multiplicity 9)
C: 0.0000 0.0000 0.5000 (multiplicity 3)
C: 0.0000 0.4744 0.5000 (multiplicity 9)
O: 0.0000 0.5960 0.5000 (multiplicity 9)
O: 0.0000 0.8789 0.5000 (multiplicity 9)
O: 0.0236 0.2167 0.8039 (multiplicity 18)

---

Record 6
Entry from Alexandria: a relaxed structure of Rb2Sr2C3O9 (PBE).

Output
Its total magnetization is 0.0 μB per cell. As for the crystal system: cubic. The uncorrected energy is -0.2546 hartree per atom. For the uncorrected formation energy, the calculation gives -33.26 eV per formula unit.

a = 9.9862 Å, b = 9.9862 Å, c = 9.9862 Å
α = 90.00°, β = 90.00°, γ = 90.00°
Space group I2_13 (No. 199)
One atom of each set of equivalent atoms:
Rb: 0.0613 0.4387 0.5613 (multiplicity 8)
Sr: 0.2068 0.2068 0.2068 (multiplicity 8)
C: 0.0000 0.2500 0.9060 (multiplicity 12)
O: 0.0000 0.2500 0.7750 (multiplicity 12)
O: 0.0298 0.3880 0.2662 (multiplicity 24)

---

Record 7
Entry from Alexandria: a relaxed structure of RbSrC2O6 (PBE).

Output
Its total magnetization is 4.1 μB per cell. As for the crystal system: monoclinic. The uncorrected energy is -0.2547 hartree per atom. For the uncorrected formation energy, the calculation gives -18.45 eV per formula unit.

a = 9.0529 Å, b = 10.4707 Å, c = 7.5055 Å
α = 90.00°, β = 111.81°, γ = 90.00°
Space group C2/c (No. 15)
One atom of each set of equivalent atoms:
Rb: 0.0000 0.1305 0.2500 (multiplicity 4)
Sr: 0.0000 0.3971 0.7500 (multiplicity 4)
C: 0.2344 0.3785 0.2555 (multiplicity 8)
O: 0.0983 0.3822 0.1125 (multiplicity 8)
O: 0.1807 0.2234 0.7101 (multiplicity 8)
O: 0.2211 0.0226 0.6356 (multiplicity 8)

---

Record 8
Entry from Alexandria: a relaxed structure of RbTaC2O8 (PBE).

Output
Its total magnetization is 2.0 μB per cell. As for the crystal system: trigonal. The uncorrected energy is -0.2714 hartree per atom. For the uncorrected formation energy, the calculation gives -17.69 eV per formula unit.

a = 4.9590 Å, b = 4.9590 Å, c = 8.1718 Å
α = 90.00°, β = 90.00°, γ = 120.00°
Space group P-3 (No. 147)
One atom of each set of equivalent atoms:
Rb: 0.0000 0.0000 0.0000 (multiplicity 1)
Ta: 0.0000 0.0000 0.5000 (multiplicity 1)
C: 0.3333 0.6667 0.6960 (multiplicity 2)
O: 0.1269 0.3678 0.6406 (multiplicity 6)
O: 0.3333 0.6667 0.8617 (multiplicity 2)

---

Record 9
Entry from Alexandria: a relaxed structure of RbTiCO5 (PBE).

Output
Its total magnetization is 4.1 μB per cell. As for the crystal system: monoclinic. The uncorrected energy is -0.2570 hartree per atom. For the uncorrected formation energy, the calculation gives -13.08 eV per formula unit.

a = 7.0218 Å, b = 9.1768 Å, c = 7.1039 Å
α = 90.00°, β = 117.94°, γ = 90.00°
Space group C2/c (No. 15)
One atom of each set of equivalent atoms:
Rb: 0.0000 0.1570 0.2500 (multiplicity 4)
Ti: 0.0000 0.5000 0.0000 (multiplicity 4)
C: 0.0000 0.2160 0.7500 (multiplicity 4)
O: 0.0000 0.4401 0.2500 (multiplicity 4)
O: 0.0603 0.3022 0.6233 (multiplicity 8)
O: 0.1613 0.1168 0.8774 (multiplicity 8)

---

Record 10
Entry from Alexandria: a relaxed structure of Rb2TlC2O6 (PBE).

Output
Its total magnetization is 0.0 μB per cell. As for the crystal system: monoclinic. The uncorrected energy is -0.2284 hartree per atom. For the uncorrected formation energy, the calculation gives -15.86 eV per formula unit.

a = 11.3656 Å, b = 5.4377 Å, c = 7.1471 Å
α = 90.00°, β = 115.71°, γ = 90.00°
Space group C2/m (No. 12)
One atom of each set of equivalent atoms:
Rb: 0.1887 0.0000 0.1853 (multiplicity 4)
Tl: 0.0000 0.0000 0.5000 (multiplicity 2)
C: 0.0094 0.5000 0.2661 (multiplicity 4)
O: 0.0593 0.2957 0.7941 (multiplicity 8)
O: 0.1325 0.5000 0.3750 (multiplicity 4)

---

Record 11
Entry from Alexandria: a relaxed structure of Rb2TmC2O6 (PBE).

Output
Its total magnetization is 0.0 μB per cell. As for the crystal system: trigonal. The uncorrected energy is -0.2544 hartree per atom. For the uncorrected formation energy, the calculation gives -21.54 eV per formula unit.

a = 5.3329 Å, b = 5.3329 Å, c = 10.2830 Å
α = 90.00°, β = 90.00°, γ = 120.00°
Space group P-3m1 (No. 164)
One atom of each set of equivalent atoms:
Rb: 0.3333 0.6667 0.2952 (multiplicity 2)
Tm: 0.0000 0.0000 0.0000 (multiplicity 1)
C: 0.3333 0.6667 0.8756 (multiplicity 2)
O: 0.1931 0.3863 0.8733 (multiplicity 6)

---

Record 12
Entry from Alexandria: a relaxed structure of RbUC2O8 (PBE).

Output
Its total magnetization is 1.1 μB per cell. As for the crystal system: trigonal. The uncorrected energy is -0.2780 hartree per atom. For the uncorrected formation energy, the calculation gives -20.42 eV per formula unit.

a = 5.0296 Å, b = 5.0296 Å, c = 8.4220 Å
α = 90.00°, β = 90.00°, γ = 120.00°
Space group P-3 (No. 147)
One atom of each set of equivalent atoms:
Rb: 0.0000 0.0000 0.0000 (multiplicity 1)
U: 0.0000 0.0000 0.5000 (multiplicity 1)
C: 0.3333 0.6667 0.7097 (multiplicity 2)
O: 0.1089 0.3762 0.6463 (multiplicity 6)
O: 0.3333 0.6667 0.8646 (multiplicity 2)